! PuMnCo (PBE, relaxed); values from VASP
! Total magnetization in μB per formula unit: 1.5
! Calculated total energy in eV per atom: -10.324
! Formation energy from the elements in eV per atom: -0.122
&SYSTEM
  ibrav = 0, nat = 6, ntyp = 3
/
ATOMIC_SPECIES
Mn 54.94 Mn.upf
Co 58.93 Co.upf
Pu 244.00 Pu.upf
CELL_PARAMETERS angstrom
4.480 0.000 2.515
1.760 4.170 2.113
0.146 -0.243 4.987
ATOMIC_POSITIONS angstrom
Mn 2.313 -0.121 3.751
Mn 3.120 2.085 2.314
Co 0.000 0.000 0.000
Co 2.240 0.000 1.258
Pu 1.736 2.477 4.779
Pu 4.650 1.450 4.837